Entry 1:
Density functional theory data (PBE-GGA) for a relaxed Cu3PdSe crystal.

## Properties
- DFT total energy (eV/atom) = -3.69
- SG = Pm-3m (221)
- relative energy among the computed polymorphs (meV per atom) = 0
- mass density (Mg/m³) = 6.95
- energy relative to the elements, uncorrected (eV/atom) = 0.50

Geometry as POSCAR:
```
Cu3PdSe
1.0
-2.593 -2.731 -2.423
2.641 -3.455 1.068
-2.521 -0.811 3.611
Cu Pd Se
3 1 1
Direct
0.000 0.000 0.500 Cu
0.000 0.500 0.000 Cu
0.500 0.000 0.000 Cu
0.500 0.500 0.500 Pd
0.000 0.000 0.000 Se
```

Entry 2:
Density functional theory data (PBE-GGA) for a relaxed Cu3Pd6Se crystal.

## Properties
- DFT total energy (eV/atom) = -4.73
- SG = Pnnm (58)
- mass density (Mg/m³) = 9.78
- energy relative to the elements, uncorrected (eV/atom) = -0.04

Geometry as POSCAR:
```
Cu3Pd6Se
1.0
-0.699 3.935 -0.934
-5.477 -2.116 -4.813
-6.644 0.557 7.316
Pd Cu Se
12 6 2
Direct
0.500 0.529 0.747 Pd
0.000 0.326 0.413 Pd
0.000 0.694 0.898 Pd
0.000 0.674 0.587 Pd
0.500 0.174 0.913 Pd
0.000 0.306 0.102 Pd
0.500 0.826 0.087 Pd
0.000 0.029 0.753 Pd
0.500 0.806 0.398 Pd
0.000 0.971 0.247 Pd
0.500 0.194 0.602 Pd
0.500 0.471 0.253 Pd
0.500 0.861 0.673 Cu
0.000 0.639 0.173 Cu
0.500 0.500 0.000 Cu
0.500 0.139 0.327 Cu
0.000 0.361 0.827 Cu
0.000 0.000 0.500 Cu
0.000 0.000 0.000 Se
0.500 0.500 0.500 Se
```

Entry 3:
Density functional theory data (PBE-GGA) for a relaxed Cu5Pd4Se crystal.

## Properties
- DFT total energy (eV/atom) = -4.44
- SG = C2/m (12)
- mass density (Mg/m³) = 9.20
- energy relative to the elements, uncorrected (eV/atom) = 0.04

Geometry as POSCAR:
```
Cu5Pd4Se
1.0
-0.500 -1.234 -3.998
7.361 -1.985 -0.307
-1.001 -3.587 3.453
Cu Pd Se
5 4 1
Direct
0.759 0.414 0.519 Cu
0.841 0.037 0.683 Cu
0.500 0.500 0.000 Cu
0.241 0.586 0.481 Cu
0.159 0.963 0.317 Cu
0.960 0.689 0.920 Pd
0.040 0.311 0.080 Pd
0.674 0.757 0.348 Pd
0.326 0.243 0.652 Pd
0.500 0.000 0.000 Se
```

Entry 4:
Density functional theory data (PBE-GGA) for a relaxed CuPd3Se6 crystal.

## Properties
- DFT total energy (eV/atom) = -4.18
- SG = P2_1/c (14)
- relative energy among the computed polymorphs (meV per atom) = 91
- mass density (Mg/m³) = 6.81
- energy relative to the elements, uncorrected (eV/atom) = -0.12

Geometry as POSCAR:
```
CuPd3Se6
1.0
4.121 0.000 0.704
0.000 13.854 0.000
1.081 0.000 7.497
Se Cu Pd
12 2 6
Direct
0.781 0.424 0.209 Se
0.146 0.367 0.520 Se
0.906 0.174 0.435 Se
0.719 0.924 0.291 Se
0.219 0.576 0.791 Se
0.406 0.326 0.935 Se
0.281 0.076 0.709 Se
0.354 0.867 0.980 Se
0.594 0.674 0.065 Se
0.094 0.826 0.565 Se
0.646 0.133 0.020 Se
0.854 0.633 0.480 Se
0.000 0.000 0.000 Cu
0.500 0.500 0.500 Cu
0.000 0.000 0.500 Pd
0.500 0.500 0.000 Pd
0.024 0.755 0.227 Pd
0.976 0.245 0.773 Pd
0.476 0.255 0.273 Pd
0.524 0.745 0.727 Pd
```

Entry 5:
Density functional theory data (PBE-GGA) for a relaxed Cu6Pd12Se crystal.

## Properties
- DFT total energy (eV/atom) = -4.82
- SG = R-3 (148)
- mass density (Mg/m³) = 10.42
- energy relative to the elements, uncorrected (eV/atom) = -0.06

Geometry as POSCAR:
```
Cu6Pd12Se
1.0
6.414 0.000 2.056
-3.190 5.967 2.595
0.034 0.000 7.247
Se Pd Cu
1 12 6
Direct
0.000 0.000 0.000 Se
0.520 0.844 0.272 Pd
0.263 0.428 0.627 Pd
0.737 0.572 0.373 Pd
0.324 0.115 0.156 Pd
0.890 0.627 0.945 Pd
0.110 0.373 0.055 Pd
0.480 0.156 0.728 Pd
0.835 0.945 0.428 Pd
0.676 0.885 0.844 Pd
0.792 0.272 0.885 Pd
0.165 0.055 0.572 Pd
0.208 0.728 0.115 Pd
0.578 0.527 0.787 Cu
0.635 0.213 0.314 Cu
0.365 0.787 0.686 Cu
0.949 0.314 0.473 Cu
0.422 0.473 0.213 Cu
0.051 0.686 0.527 Cu
```

Entry 6:
Density functional theory data (PBE-GGA) for a relaxed Cu2Pd8Se crystal.

## Properties
- DFT total energy (eV/atom) = -4.66
- SG = C2/m (12)
- relative energy among the computed polymorphs (meV per atom) = 241
- mass density (Mg/m³) = 9.29
- energy relative to the elements, uncorrected (eV/atom) = 0.18

Geometry as POSCAR:
```
Cu2Pd8Se
1.0
4.702 0.376 0.321
1.121 6.432 -0.185
1.121 0.814 6.383
Pd Cu Se
8 2 1
Direct
0.302 0.425 0.425 Pd
0.800 0.150 0.680 Pd
0.698 0.575 0.575 Pd
0.200 0.850 0.320 Pd
0.906 0.271 0.271 Pd
0.200 0.320 0.850 Pd
0.800 0.680 0.150 Pd
0.094 0.729 0.729 Pd
0.512 0.854 0.854 Cu
0.488 0.146 0.146 Cu
0.000 0.000 0.000 Se
```

Entry 7:
Density functional theory data (PBE-GGA) for a relaxed Cu2SiPdSe4 crystal.

## Properties
- DFT total energy (eV/atom) = -4.34
- SG = Fmm2 (42)
- mass density (Mg/m³) = 5.52
- energy relative to the elements, uncorrected (eV/atom) = -0.25

Geometry as POSCAR:
```
Cu2SiPdSe4
1.0
-2.454 3.736 3.592
-5.066 -2.565 -0.796
4.763 -3.826 2.658
Cu Si Se Pd
2 1 4 1
Direct
0.750 0.250 0.500 Cu
0.250 0.750 0.500 Cu
0.500 0.500 0.000 Si
0.610 0.610 0.749 Se
0.139 0.139 0.749 Se
0.390 0.861 0.251 Se
0.861 0.390 0.251 Se
0.000 0.000 0.001 Pd
```

Entry 8:
Density functional theory data (PBE-GGA) for a relaxed Cu2SnPdSe4 crystal.

## Properties
- DFT total energy (eV/atom) = -4.15
- SG = I-42m (121)
- mass density (Mg/m³) = 5.83
- energy relative to the elements, uncorrected (eV/atom) = -0.24

Geometry as POSCAR:
```
Cu2SnPdSe4
1.0
-1.238 5.565 -0.755
-3.972 -1.415 -3.910
-1.369 -2.395 6.487
Se Cu Sn Pd
4 2 1 1
Direct
0.375 0.900 0.275 Se
0.900 0.375 0.275 Se
0.625 0.625 0.725 Se
0.100 0.100 0.725 Se
0.250 0.750 0.500 Cu
0.750 0.250 0.500 Cu
0.500 0.500 0.000 Sn
0.000 0.000 0.000 Pd
```